# 1
A plane-wave DFT calculation with PBE-GGA was carried out for a geometry-optimized Li2YGaH structure.

abc: 4.1827 4.1827 4.7565
angles: 90.00 90.00 90.00
Closest atoms and distances in Å follow each position.
Positions (direct):
Y 0.0000 0.0000 0.5000  2 H 2.38
H 0.0000 0.0000 0.0000  4 Li 2.09
Ga 0.5000 0.5000 0.5000  4 Y 2.96, 8 Li 3.17
Li 0.0000 0.5000 0.0000  2 H 2.09
Li 0.5000 0.0000 0.0000  2 H 2.09

Summary:
Density ... 3.46 Mg/m³
E_tot ... -18.4 eV per cell
Symmetry ... P4/mmm (123)
Magnetization ... 0.000 μB/atom

# 2
A plane-wave DFT calculation with PBE-GGA was carried out for a geometry-optimized LiZn2GaH structure.

abc: 4.3192 4.3192 3.4792
angles: 90.00 90.00 90.00
Closest atoms and distances in Å follow each position.
Positions (direct):
H 0.0000 0.0000 0.0000  2 Li 1.74
Zn 0.0000 0.5000 0.0000  2 H 2.16
Zn 0.5000 0.0000 0.0000  2 H 2.16
Ga 0.5000 0.5000 0.5000  8 Zn 2.77, 4 Li 3.05
Li 0.0000 0.0000 0.5000  2 H 1.74

Summary:
Density ... 5.33 Mg/m³
Excess energy over the best structure of this formula in the dataset ... 0 meV per atom
E_tot ... -10.8 eV per cell
Symmetry ... P4/mmm (123)
Magnetization ... 0.000 μB/atom

# 3
A plane-wave DFT calculation with PBE-GGA was carried out for a geometry-optimized LiZn2GaH structure.

abc: 4.5757 4.7324 4.5757
angles: 90.00 90.00 90.00
Closest atoms and distances in Å follow each position.
Positions (direct):
H 0.5000 0.5000 0.5000  4 Ga 3.24, 8 Zn 3.29
Zn 0.0000 0.0000 0.5000  2 Li 2.29
Zn 0.5000 0.0000 0.0000  2 Li 2.29
Ga 0.0000 0.5000 0.0000  2 Li 2.37
Li 0.0000 0.0000 0.0000  4 Zn 2.29, 2 Ga 2.37

Summary:
Density ... 3.49 Mg/m³
Excess energy over the best structure of this formula in the dataset ... 723 meV per atom
E_tot ... -7.2 eV per cell
Symmetry ... P4/mmm (123)
Magnetization ... 0.000 μB/atom

# 4
A plane-wave DFT calculation with PBE-GGA was carried out for a geometry-optimized Li2ZrGaH structure.

abc: 3.9639 3.9639 4.5037
angles: 90.00 90.00 90.00
Closest atoms and distances in Å follow each position.
Positions (direct):
H 0.0000 0.0000 0.0000  4 Li 1.98
Ga 0.5000 0.5000 0.5000  4 Zr 2.80, 8 Li 3.00
Zr 0.0000 0.0000 0.5000  2 H 2.25
Li 0.0000 0.5000 0.0000  2 H 1.98
Li 0.5000 0.0000 0.0000  2 H 1.98

Summary:
Density ... 4.13 Mg/m³
E_tot ... -20.4 eV per cell
Symmetry ... P4/mmm (123)
Magnetization ... 0.000 μB/atom

# 5
A plane-wave DFT calculation with PBE-GGA was carried out for a geometry-optimized LuGa2H6 structure.

abc: 5.1714 5.1714 5.1714
angles: 60.00 60.00 60.00
Closest atoms and distances in Å follow each position.
Positions (direct):
Lu 0.0000 0.0000 0.0000  6 H 2.01
Ga 0.7500 0.7500 0.7500  12 H 2.59
Ga 0.2500 0.2500 0.2500  12 H 2.59
H 0.2753 0.7247 0.7247  1 Lu 2.01
H 0.7247 0.7247 0.2753  1 Lu 2.01
H 0.7247 0.2753 0.7247  1 Lu 2.01
H 0.7247 0.2753 0.2753  1 Lu 2.01
H 0.2753 0.2753 0.7247  1 Lu 2.01
H 0.2753 0.7247 0.2753  1 Lu 2.01

Summary:
Density ... 5.44 Mg/m³
E_tot ... -27.1 eV per cell
Symmetry ... Fm-3m (225)
Magnetization ... 0.000 μB/atom

# 6
A plane-wave DFT calculation with PBE-GGA was carried out for a geometry-optimized Lu12Ga3H5 structure.

abc: 12.8951 12.8951 12.8951
angles: 109.47 109.47 109.47
Closest atoms and distances in Å follow each position.
Positions (direct):
H 0.1250 0.3750 0.2500  4 Lu 2.12
H 0.0000 0.5000 0.0000  6 Lu 2.49
H 0.0000 0.0000 0.0000  6 Lu 2.49
H 0.3750 0.2500 0.1250  4 Lu 2.12
H 0.5000 0.0000 0.5000  6 Lu 2.49
H 0.5000 0.5000 0.0000  6 Lu 2.49
H 0.1250 0.7500 0.3750  4 Lu 2.12
H 0.7500 0.1250 0.8750  4 Lu 2.12
H 0.7500 0.6250 0.3750  4 Lu 2.12
H 0.3750 0.1250 0.7500  4 Lu 2.12
H 0.6250 0.8750 0.2500  4 Lu 2.12
H 0.5000 0.5000 0.5000  6 Lu 2.49
H 0.5000 0.0000 0.0000  6 Lu 2.49
H 0.0000 0.0000 0.5000  6 Lu 2.49
H 0.2500 0.3750 0.6250  4 Lu 2.12
H 0.2500 0.8750 0.1250  4 Lu 2.12
H 0.0000 0.5000 0.5000  6 Lu 2.49
H 0.8750 0.2500 0.6250  4 Lu 2.12
H 0.6250 0.7500 0.8750  4 Lu 2.12
H 0.8750 0.6250 0.7500  4 Lu 2.12
Lu 0.7096 0.1136 0.0186  1 H 2.12
Lu 0.3090 0.5186 0.4049  1 H 2.12
Lu 0.9814 0.3864 0.2904  1 H 2.12
Lu 0.5186 0.2096 0.1136  1 H 2.12
Lu 0.5959 0.7096 0.6910  1 H 2.12
Lu 0.9814 0.5951 0.1910  1 H 2.12
Lu 0.3090 0.7904 0.4041  1 H 2.12
Lu 0.0951 0.9041 0.1136  1 H 2.12
Lu 0.5951 0.9814 0.6910  1 H 2.12
Lu 0.7096 0.5959 0.1910  1 H 2.12
Lu 0.7904 0.4814 0.3864  1 H 2.12
Lu 0.8090 0.9049 0.0186  1 H 2.12
Lu 0.1136 0.7096 0.5186  1 H 2.12
Lu 0.3864 0.4049 0.0959  1 H 2.12
Lu 0.0959 0.9049 0.3864  1 H 2.12
Lu 0.4041 0.1136 0.5951  1 H 2.12
Lu 0.0959 0.1910 0.2096  1 H 2.12
Lu 0.4814 0.6910 0.0951  1 H 2.12
Lu 0.8090 0.9041 0.2904  1 H 2.12
Lu 0.1136 0.4041 0.0951  1 H 2.12
Lu 0.3864 0.9814 0.7904  1 H 2.12
Lu 0.5951 0.6136 0.4041  1 H 2.12
Lu 0.9049 0.8090 0.5186  1 H 2.12
Lu 0.7904 0.3090 0.9041  1 H 2.12
Lu 0.4049 0.3864 0.5959  1 H 2.12
Lu 0.0951 0.1910 0.4814  1 H 2.12
Lu 0.2096 0.6910 0.0959  1 H 2.12
Lu 0.1910 0.0959 0.7096  1 H 2.12
Lu 0.6136 0.0186 0.2096  1 H 2.12
Lu 0.8864 0.5959 0.9049  1 H 2.12
Lu 0.5186 0.3090 0.9049  1 H 2.12
Lu 0.5959 0.8864 0.4049  1 H 2.12
Lu 0.9041 0.8090 0.7904  1 H 2.12
Lu 0.9041 0.0951 0.6136  1 H 2.12
Lu 0.8864 0.2904 0.4814  1 H 2.12
Lu 0.1910 0.0951 0.9814  1 H 2.12
Lu 0.6136 0.5951 0.9041  1 H 2.12
Lu 0.4049 0.0186 0.3090  1 H 2.12
Lu 0.2904 0.4041 0.8090  1 H 2.12
Lu 0.2096 0.5186 0.6136  1 H 2.12
Lu 0.9049 0.0959 0.8864  1 H 2.12
Lu 0.6910 0.2096 0.5959  1 H 2.12
Lu 0.4814 0.7904 0.8864  1 H 2.12
Lu 0.0186 0.4049 0.8090  1 H 2.12
Lu 0.4041 0.2904 0.3090  1 H 2.12
Lu 0.0186 0.6136 0.7096  1 H 2.12
Lu 0.6910 0.4814 0.5951  1 H 2.12
Lu 0.2904 0.8864 0.9814  1 H 2.12
Ga 0.7500 0.3750 0.1250  8 Lu 2.96
Ga 0.8750 0.7500 0.1250  8 Lu 2.96
Ga 0.3750 0.7500 0.6250  8 Lu 2.96
Ga 0.2500 0.1250 0.3750  8 Lu 2.96
Ga 0.8750 0.1250 0.2500  8 Lu 2.96
Ga 0.3750 0.6250 0.2500  8 Lu 2.96
Ga 0.6250 0.3750 0.7500  8 Lu 2.96
Ga 0.1250 0.8750 0.7500  8 Lu 2.96
Ga 0.7500 0.8750 0.6250  8 Lu 2.96
Ga 0.6250 0.2500 0.3750  8 Lu 2.96
Ga 0.1250 0.2500 0.8750  8 Lu 2.96
Ga 0.2500 0.6250 0.8750  8 Lu 2.96

Summary:
Density ... 9.31 Mg/m³
E_tot ... -344.1 eV per cell
Symmetry ... Ia-3d (230)
Magnetization ... 0.000 μB/atom